# Ce2Al3Cu, relaxed, DFT PBE
# DOS(E_F), states/eV per cell: 18.16
# Total energy, eV/atom: -4.948
# Energy of formation, meV per atom: -416
# Volume, Å³/atom: 19.8
data_Ce2Al3Cu
_chemical_formula_sum 'Ce4 Al6 Cu2'
_cell_length_a 5.6936
_cell_length_b 5.6936
_cell_length_c 8.4746
_cell_angle_alpha 90.00
_cell_angle_beta 90.00
_cell_angle_gamma 120.00
_symmetry_space_group_name_H-M 'P 63/m m c'
_symmetry_Int_Tables_number 194
_symmetry_space_group_name_Hall '-P 6c 2c'
loop_
_atom_site_label
_atom_site_fract_x
_atom_site_fract_y
_atom_site_fract_z
Ce1 0.3333 0.6667 0.0873
Al1 0.1657 0.3314 0.7500
Cu1 0.0000 0.0000 0.0000

***

# Ce3Al9Cu2, relaxed, DFT PBE
# DOS(E_F), states/eV per cell: 34.19
# Total energy, eV/atom: -4.633
# Energy of formation, meV per atom: -370
# Volume, Å³/atom: 19.3
data_Ce3Al9Cu2
_chemical_formula_sum 'Ce6 Al18 Cu4'
_cell_length_a 4.332
_cell_length_b 10.056
_cell_length_c 12.377
_cell_angle_alpha 90.00
_cell_angle_beta 90.00
_cell_angle_gamma 90.00
_symmetry_space_group_name_H-M 'I m m m'
_symmetry_Int_Tables_number 71
_symmetry_space_group_name_Hall '-I 2 2'
loop_
_atom_site_label
_atom_site_fract_x
_atom_site_fract_y
_atom_site_fract_z
Ce1 0.000 0.000 0.000
Ce2 0.000 0.000 0.312
Al1 0.000 0.278 0.125
Al2 0.000 0.367 0.340
Al3 0.000 0.500 0.000
Cu1 0.000 0.214 0.500